Compound: Co3AuF
Source: Alexandria via LeMat-Bulk
Functional: PBE+U
Structure: optimized geometry

POSCAR file:
```
Co3AuF
1.0
-2.008 -2.701 2.421
1.604 -3.143 -2.177
3.254 -0.117 2.567
Co F Au
3 1 1
direct
0.000 0.500 0.000
0.500 0.000 0.000
0.000 0.000 0.500
0.000 0.000 0.000
0.500 0.500 0.500
```

Computed properties:
**Crystal system**: cubic
**Total energy**: -0.289 Ry/atom
**Space group**: No. 221
**D(E_F)**: 3.0 states/eV/f.u.
**Size of the total moment**: 6.1 μB/cell